A relaxed TlGa2MoF8 crystal. Source: Alexandria, functional PBE+U.

Cell: 5.7553 5.7553 22.2660 Å, 90.00 90.00 120.00°
Closest atoms and distances in Å follow each position.
Space group R-3 (No. 148, hexagonal axes)
Unique sites:
Tl: 0.0000 0.0000 0.0000 [3 per cell]  12 F 3.18-3.36
Ga: 0.0000 0.0000 0.2303 [6 per cell]  1 F 1.83
Mo: 0.0000 0.0000 0.5000 [3 per cell]  6 F 2.12
F: 0.0000 0.0000 0.3124 [6 per cell]  1 Ga 1.83
F: 0.0088 0.7053 0.5553 [18 per cell]  1 Ga 2.07, 1 Mo 2.12

- total magnetic moment (μB/cell) = 12.934
- DFT total energy (eV per atom) = -4.635